The following is a DFT calculation (PBE) of crystalline Ta2SiS6 at its relaxed geometry.

a = 13.8412 Å, b = 3.3113 Å, c = 10.5520 Å
α = 90.00°, β = 124.18°, γ = 90.00°
With the nearest neighbours (Å) after each atom.
Space group C2/m (No. 12)
One atom of each set of equivalent atoms:
Ta  0.1754  0.0000  0.2888 [4 per cell]  7 S 2.50-2.63
Si  0.0000  0.5000  0.0000 [2 per cell]  4 S 2.24-2.25
S  0.0165  0.5000  0.2234 [4 per cell]  1 Si 2.24
S  0.1724  0.0000  0.5356 [4 per cell]  3 Ta 2.50-2.63
S  0.1962  0.5000  0.1267 [4 per cell]  1 Si 2.25, 2 Ta 2.51

- ΔE_f (raw) (eV per atom) = -0.752
- size of the total moment (μB per atom) = 0.00
- total DFT energy (no corrections) (eV per atom) = -6.7404

=====

The following is a DFT calculation (PBE) of crystalline La3Pm6Pr at its relaxed geometry.

a = 11.1882 Å, b = 19.6584 Å, c = 6.4668 Å
α = 90.00°, β = 90.00°, γ = 90.00°
With the nearest neighbours (Å) after each atom.
Space group Cmc2_1 (No. 36)
One atom of each set of equivalent atoms:
La  0.0000  0.1146  0.0000 [4 per cell]  7 Pm 3.50-3.86, 2 La 3.72, 1 Pr 3.86
La  0.1744  0.3837  0.3845 [8 per cell]  1 Pr 3.35, 6 Pm 3.36-3.63, 1 La 3.72
Pm  0.0000  0.2201  0.5634 [4 per cell]  2 Pm 3.18, 1 Pr 3.48, 1 La 3.50
Pm  0.0000  0.4659  0.7874 [4 per cell]  1 Pr 3.42, 2 Pm 3.50, 4 La 3.60-3.63
Pm  0.1700  0.0429  0.4715 [8 per cell]  4 La 3.50-3.86, 5 Pm 3.54-3.88
Pm  0.2370  0.2089  0.2934 [8 per cell]  2 Pm 3.18-3.54, 1 Pr 3.33, 2 La 3.36-3.55
Pr  0.0000  0.3108  0.0255 [4 per cell]  4 Pm 3.33-3.48, 2 La 3.35

- ΔE_f (eV per formula unit) = 1.3
- size of the total moment (μB per atom) = 0.00
- total DFT energy (no corrections) (eV per atom) = -4.6762

=====

The following is a DFT calculation (PBE) of crystalline DyNi3Ge3 at its relaxed geometry.

a = 8.2045 Å, b = 8.2045 Å, c = 4.0660 Å
α = 90.00°, β = 90.00°, γ = 120.00°
With the nearest neighbours (Å) after each atom.
Space group P6_3/m (No. 176)
One atom of each set of equivalent atoms:
Dy  0.3333  0.6667  0.2500 [2 per cell]  6 Ge 2.96, 3 Ni 3.23
Ni  0.0685  0.8542  0.2500 [6 per cell]  4 Ge 2.35-2.51, 4 Ni 2.56
Ge  0.1045  0.7228  0.7500 [6 per cell]  4 Ni 2.35-2.51

- ΔE_f (eV per formula unit) = -2.7
- size of the total moment (μB per atom) = 0.00
- energy above the lowest structure with this stoichiometry (meV/atom) = 0
- total DFT energy (no corrections) (eV per atom) = -5.5000

=====

The following is a DFT calculation (PBE) of crystalline Sm2MgHg2 at its relaxed geometry.

a = 8.2152 Å, b = 8.2152 Å, c = 4.0613 Å
α = 90.00°, β = 90.00°, γ = 90.00°
With the nearest neighbours (Å) after each atom.
Space group P4/mbm (No. 127)
One atom of each set of equivalent atoms:
Sm  0.1665  0.3335  0.0000 [4 per cell]  6 Hg 3.08-3.21
Mg  0.0000  0.0000  0.5000 [2 per cell]  4 Hg 3.20
Hg  0.1343  0.6343  0.5000 [4 per cell]  6 Sm 3.08-3.21, 1 Hg 3.12, 2 Mg 3.20

- ΔE_f (eV per formula unit) = -2.0
- size of the total moment (μB per atom) = 0.00
- total DFT energy (no corrections) (eV per atom) = -2.7199

=====

| no. | calculated volume (Å³/atom) |
| --- | --- |
| 1 | 22.23 |
| 2 | 35.56 |
| 3 | 16.93 |
| 4 | 27.41 |